Cr3Si | PBE | optimized geometry

Cell: 4.9610 4.9610 4.1154 Å, 90.00 90.00 110.60°
With the nearest neighbours (Å) after each atom.
Fractional coordinates of all 8 atoms:
Cr  0.1318  0.8682  0.7500  8 Cr 2.48-2.50
Cr  0.8682  0.1318  0.2500  8 Cr 2.48-2.50
Cr  0.6321  0.8671  0.7500  4 Si 2.45-2.51, 4 Cr 2.48-2.50
Cr  0.3679  0.1329  0.2500  4 Si 2.45-2.51, 4 Cr 2.48-2.50
Cr  0.8671  0.6321  0.2500  4 Si 2.45-2.51, 4 Cr 2.48-2.50
Cr  0.1329  0.3679  0.7500  4 Si 2.45-2.51, 4 Cr 2.48-2.50
Si  0.6366  0.3634  0.7500  8 Cr 2.45-2.51
Si  0.3634  0.6366  0.2500  8 Cr 2.45-2.51

Relative energy among the computed polymorphs: 0.79 eV/f.u.
ΔE_f (raw): -0.1642 eV/atom
DOS at the Fermi energy: 5.7 states/eV per cell

---

CrSi | PBE | optimized geometry

Cell: 7.2576 7.2576 7.2576 Å, 90.00 90.00 90.00°
With the nearest neighbours (Å) after each atom.
Fractional coordinates of all 16 atoms:
Cr  0.3865  0.3865  0.3865  3 Cr 2.33, 4 Si 2.36-2.43
Cr  0.3865  0.6135  0.6135  3 Cr 2.33, 4 Si 2.36-2.43
Cr  0.6135  0.3865  0.6135  3 Cr 2.33, 4 Si 2.36-2.43
Cr  0.6135  0.6135  0.3865  3 Cr 2.33, 4 Si 2.36-2.43
Cr  0.8865  0.8865  0.8865  3 Cr 2.33, 4 Si 2.36-2.43
Cr  0.8865  0.1135  0.1135  3 Cr 2.33, 4 Si 2.36-2.43
Cr  0.1135  0.8865  0.1135  3 Cr 2.33, 4 Si 2.36-2.43
Cr  0.1135  0.1135  0.8865  3 Cr 2.33, 4 Si 2.36-2.43
Si  0.1989  0.1989  0.1989  4 Cr 2.36-2.43
Si  0.1989  0.8011  0.8011  4 Cr 2.36-2.43
Si  0.8011  0.1989  0.8011  4 Cr 2.36-2.43
Si  0.8011  0.8011  0.1989  4 Cr 2.36-2.43
Si  0.6989  0.6989  0.6989  4 Cr 2.36-2.43
Si  0.6989  0.3011  0.3011  4 Cr 2.36-2.43
Si  0.3011  0.6989  0.3011  4 Cr 2.36-2.43
Si  0.3011  0.3011  0.6989  4 Cr 2.36-2.43

ΔE_f (raw): 0.9786 eV/atom
DOS at the Fermi energy: 26.2 states/eV per cell

---

CrSi2 | PBE | optimized geometry

Cell: 4.2343 4.2343 2.4375 Å, 90.00 90.00 120.00°
With the nearest neighbours (Å) after each atom.
Fractional coordinates of all 3 atoms:
Cr  0.0000  0.0000  0.0000  2 Cr 2.44, 6 Si 2.73
Si  0.3333  0.6667  0.4980  5 Si 2.44, 3 Cr 2.73
Si  0.6667  0.3333  0.5020  5 Si 2.44, 3 Cr 2.73

ΔE_f (raw): 0.2106 eV/atom
DOS at the Fermi energy: 2.1 states/eV per cell

---

CrSi | PBE | optimized geometry

Cell: 2.8280 7.2926 4.8490 Å, 90.00 90.00 90.00°
With the nearest neighbours (Å) after each atom.
Fractional coordinates of all 8 atoms:
Cr  0.0000  0.7906  0.0000  6 Si 2.42-2.43
Cr  0.0000  0.2094  0.0000  6 Si 2.42-2.43
Cr  0.5000  0.2906  0.5000  6 Si 2.42-2.43
Cr  0.5000  0.7094  0.5000  6 Si 2.42-2.43
Si  0.5000  0.0000  0.2567  2 Si 2.36-2.49, 6 Cr 2.42-2.43
Si  0.5000  0.0000  0.7433  2 Si 2.36-2.49, 6 Cr 2.42-2.43
Si  0.0000  0.5000  0.7567  2 Si 2.36-2.49, 6 Cr 2.42-2.43
Si  0.0000  0.5000  0.2433  2 Si 2.36-2.49, 6 Cr 2.42-2.43

ΔE_f (raw): -0.2244 eV/atom
DOS at the Fermi energy: 8.3 states/eV per cell

---

CrSi | PBE | optimized geometry

Cell: 4.0560 4.0560 4.0560 Å, 60.02 60.02 60.02°
With the nearest neighbours (Å) after each atom.
Fractional coordinates of all 4 atoms:
Cr  0.1249  0.1249  0.1249  4 Cr 2.48, 4 Si 2.48
Cr  0.8751  0.8751  0.8751  4 Cr 2.48, 4 Si 2.48
Si  0.3750  0.3750  0.3750  4 Cr 2.48, 4 Si 2.48
Si  0.6250  0.6250  0.6250  4 Cr 2.48, 4 Si 2.48

ΔE_f (raw): 0.0690 eV/atom
DOS at the Fermi energy: 3.7 states/eV per cell

---

CrSi8 | PBE | optimized geometry

Cell: 5.9249 5.9249 5.9249 Å, 96.19 96.19 141.65°
With the nearest neighbours (Å) after each atom.
Fractional coordinates of all 9 atoms:
Cr  0.0000  0.0000  0.0000  12 Si 2.57-2.63
Si  0.3417  0.6583  0.0000  8 Si 2.51-2.71, 2 Cr 2.63
Si  0.6583  0.3417  0.0000  8 Si 2.51-2.71, 2 Cr 2.63
Si  0.0000  0.3243  0.3243  1 Cr 2.57, 11 Si 2.66-2.78
Si  0.6583  0.6583  0.3166  8 Si 2.51-2.71, 2 Cr 2.63
Si  0.3243  0.0000  0.3243  1 Cr 2.57, 11 Si 2.66-2.78
Si  0.3417  0.3417  0.6834  8 Si 2.51-2.71, 2 Cr 2.63
Si  0.0000  0.6757  0.6757  1 Cr 2.57, 11 Si 2.66-2.78
Si  0.6757  0.0000  0.6757  1 Cr 2.57, 11 Si 2.66-2.78

ΔE_f (raw): 0.3426 eV/atom
DOS at the Fermi energy: 4.9 states/eV per cell

---

CrSi | PBE | optimized geometry

Cell: 4.6385 4.6385 4.6385 Å, 140.85 130.65 64.72°
With the nearest neighbours (Å) after each atom.
Fractional coordinates of all 4 atoms:
Cr  0.3818  0.6318  0.2500  2 Cr 2.42, 6 Si 2.49
Cr  0.6182  0.3682  0.7500  2 Cr 2.42, 6 Si 2.49
Si  0.8658  0.1158  0.2500  8 Cr 2.49-2.77, 4 Si 2.61-2.65
Si  0.1342  0.8842  0.7500  8 Cr 2.49-2.77, 4 Si 2.61-2.65

ΔE_f (raw): -0.1486 eV/atom
DOS at the Fermi energy: 3.2 states/eV per cell

---

CrSi | PBE | optimized geometry

Cell: 5.7102 2.9648 8.3334 Å, 90.00 132.86 90.00°
With the nearest neighbours (Å) after each atom.
Fractional coordinates of all 8 atoms:
Cr  0.8220  0.0000  0.0830  6 Si 2.37-2.52, 2 Cr 2.53
Cr  0.1780  0.0000  0.9170  6 Si 2.37-2.52, 2 Cr 2.53
Cr  0.8220  0.5000  0.5830  6 Si 2.37-2.52, 2 Cr 2.53
Cr  0.1780  0.5000  0.4170  6 Si 2.37-2.52, 2 Cr 2.53
Si  0.6200  0.0000  0.7037  6 Cr 2.37-2.52, 2 Si 2.47
Si  0.3800  0.0000  0.2963  6 Cr 2.37-2.52, 2 Si 2.47
Si  0.6200  0.5000  0.2037  6 Cr 2.37-2.52, 2 Si 2.47
Si  0.3800  0.5000  0.7963  6 Cr 2.37-2.52, 2 Si 2.47

ΔE_f (raw): -0.0829 eV/atom
DOS at the Fermi energy: 5.4 states/eV per cell

---

CrSi | PBE | optimized geometry

Cell: 6.6858 6.6858 6.6858 Å, 90.00 90.00 90.00°
With the nearest neighbours (Å) after each atom.
Fractional coordinates of all 12 atoms:
Cr  0.2500  0.5000  0.0000  4 Si 2.36
Cr  0.7500  0.5000  0.0000  4 Si 2.36
Cr  0.5000  0.0000  0.2500  4 Si 2.36
Cr  0.5000  0.0000  0.7500  4 Si 2.36
Cr  0.0000  0.2500  0.5000  4 Si 2.36
Cr  0.0000  0.7500  0.5000  4 Si 2.36
Si  0.2500  0.0000  0.5000  4 Cr 2.36
Si  0.7500  0.0000  0.5000  4 Cr 2.36
Si  0.0000  0.5000  0.2500  4 Cr 2.36
Si  0.0000  0.5000  0.7500  4 Cr 2.36
Si  0.5000  0.2500  0.0000  4 Cr 2.36
Si  0.5000  0.7500  0.0000  4 Cr 2.36

ΔE_f (raw): 1.0433 eV/atom
DOS at the Fermi energy: 11.7 states/eV per cell

---

Cr5Si3 | PBE | optimized geometry

Cell: 4.9601 4.9601 4.1692 Å, 90.00 90.00 111.94°
With the nearest neighbours (Å) after each atom.
Fractional coordinates of all 8 atoms:
Cr  0.0000  0.0000  0.0000  8 Cr 2.48-2.64, 2 Si 2.78
Cr  0.0000  0.5000  0.0000  6 Si 2.48-2.51, 4 Cr 2.48-2.78
Cr  0.5000  0.0000  0.0000  4 Cr 2.48-2.78, 6 Si 2.48-2.51
Cr  0.2906  0.2906  0.5000  1 Cr 2.33, 6 Si 2.39-2.55
Cr  0.7094  0.7094  0.5000  1 Cr 2.33, 6 Si 2.39-2.55
Si  0.5000  0.5000  0.0000  8 Cr 2.39-2.48
Si  0.7755  0.2245  0.5000  8 Cr 2.45-2.55
Si  0.2245  0.7755  0.5000  8 Cr 2.45-2.55

Relative energy among the computed polymorphs: 1.35 eV/f.u.
ΔE_f (raw): -0.1563 eV/atom
DOS at the Fermi energy: 6.6 states/eV per cell

---

Cr3Si | PBE | optimized geometry

Cell: 2.9473 2.9470 5.4745 Å, 90.00 90.00 90.00°
With the nearest neighbours (Å) after each atom.
Fractional coordinates of all 4 atoms:
Cr  0.5000  0.5000  0.7493  6 Cr 2.49-2.74, 4 Si 2.50
Cr  0.0000  0.0000  0.5000  8 Cr 2.49, 2 Si 2.74
Cr  0.5000  0.5000  0.2507  6 Cr 2.49-2.74, 4 Si 2.50
Si  0.0000  0.0000  0.0000  10 Cr 2.50-2.74

Relative energy among the computed polymorphs: 1.00 eV/f.u.
ΔE_f (raw): -0.1110 eV/atom
DOS at the Fermi energy: 2.8 states/eV per cell

---

CrSi2 | PBE | optimized geometry

Cell: 4.3485 4.3485 4.3485 Å, 138.51 138.51 60.13°
With the nearest neighbours (Å) after each atom.
Fractional coordinates of all 3 atoms:
Cr  0.0000  0.0000  0.0000  10 Si 2.50-2.53
Si  0.3367  0.3367  0.0000  5 Si 2.46-2.54, 5 Cr 2.50-2.53
Si  0.6633  0.6633  0.0000  5 Si 2.46-2.54, 5 Cr 2.50-2.53

ΔE_f (raw): -0.3812 eV/atom
DOS at the Fermi energy: 0.3 states/eV per cell

---

CrSi | PBE | optimized geometry

Cell: 5.4713 5.4713 5.4713 Å, 90.00 90.00 90.00°
With the nearest neighbours (Å) after each atom.
Fractional coordinates of all 8 atoms:
Cr  0.0000  0.0000  0.0000  4 Si 2.37
Cr  0.0000  0.5000  0.5000  4 Si 2.37
Cr  0.5000  0.0000  0.5000  4 Si 2.37
Cr  0.5000  0.5000  0.0000  4 Si 2.37
Si  0.2500  0.2500  0.2500  4 Cr 2.37
Si  0.2500  0.7500  0.7500  4 Cr 2.37
Si  0.7500  0.2500  0.7500  4 Cr 2.37
Si  0.7500  0.7500  0.2500  4 Cr 2.37

ΔE_f (raw): 1.0191 eV/atom
DOS at the Fermi energy: 4.9 states/eV per cell

---

CrSi2 | PBE | optimized geometry

Cell: 4.7259 4.7259 4.7259 Å, 104.28 104.28 120.45°
With the nearest neighbours (Å) after each atom.
Fractional coordinates of all 6 atoms:
Cr  0.2500  0.2500  0.0000  2 Cr 2.35, 8 Si 2.50
Cr  0.7500  0.7500  0.0000  2 Cr 2.35, 8 Si 2.50
Si  0.3510  0.1490  0.5000  1 Si 2.45, 4 Cr 2.50
Si  0.6490  0.8510  0.5000  1 Si 2.45, 4 Cr 2.50
Si  0.1490  0.6490  0.7981  1 Si 2.45, 4 Cr 2.50
Si  0.8510  0.3510  0.2019  1 Si 2.45, 4 Cr 2.50

ΔE_f (raw): -0.1577 eV/atom
DOS at the Fermi energy: 2.5 states/eV per cell

---

CrSi | PBE | optimized geometry

Cell: 6.5353 6.5353 4.3933 Å, 90.00 90.00 120.00°
With the nearest neighbours (Å) after each atom.
Fractional coordinates of all 12 atoms:
Cr  0.0809  0.4434  0.2500  5 Si 2.32-2.44
Cr  0.6375  0.0809  0.7500  5 Si 2.32-2.44
Cr  0.5566  0.6375  0.2500  5 Si 2.32-2.44
Cr  0.9191  0.5566  0.7500  5 Si 2.32-2.44
Cr  0.3625  0.9191  0.2500  5 Si 2.32-2.44
Cr  0.4434  0.3625  0.7500  5 Si 2.32-2.44
Si  0.7792  0.0469  0.2500  5 Cr 2.32-2.44
Si  0.7322  0.7792  0.7500  5 Cr 2.32-2.44
Si  0.9531  0.7322  0.2500  5 Cr 2.32-2.44
Si  0.2208  0.9531  0.7500  5 Cr 2.32-2.44
Si  0.2678  0.2208  0.2500  5 Cr 2.32-2.44
Si  0.0469  0.2678  0.7500  5 Cr 2.32-2.44

ΔE_f (raw): 0.2186 eV/atom
DOS at the Fermi energy: 11.1 states/eV per cell

---

CrSi2 | PBE | optimized geometry

Cell: 13.2632 13.2632 13.2632 Å, 165.04 165.04 21.21°
With the nearest neighbours (Å) after each atom.
Fractional coordinates of all 12 atoms:
Cr  0.9219  0.9219  0.0000  10 Si 2.47-2.69
Cr  0.0781  0.0781  0.0000  10 Si 2.47-2.69
Cr  0.1719  0.6719  0.5000  10 Si 2.47-2.69
Cr  0.3281  0.8281  0.5000  10 Si 2.47-2.69
Si  0.7511  0.7511  0.0000  4 Si 2.44, 4 Cr 2.65-2.69
Si  0.2489  0.2489  0.0000  4 Si 2.44, 4 Cr 2.65-2.69
Si  0.0011  0.5011  0.5000  4 Si 2.44, 4 Cr 2.65-2.69
Si  0.4989  0.9989  0.5000  4 Si 2.44, 4 Cr 2.65-2.69
Si  0.5933  0.5933  0.0000  2 Si 2.39, 4 Cr 2.47
Si  0.4067  0.4067  0.0000  2 Si 2.39, 4 Cr 2.47
Si  0.8433  0.3433  0.5000  2 Si 2.39, 4 Cr 2.47
Si  0.6567  0.1567  0.5000  2 Si 2.39, 4 Cr 2.47

ΔE_f (raw): 0.0777 eV/atom
DOS at the Fermi energy: 6.8 states/eV per cell

---

Cr3Si | PBE | optimized geometry

Cell: 3.9810 3.9810 2.9912 Å, 90.00 90.00 90.00°
With the nearest neighbours (Å) after each atom.
Fractional coordinates of all 4 atoms:
Cr  0.0000  0.0000  0.0000  4 Cr 2.49, 4 Si 2.49
Cr  0.5000  0.0000  0.5000  8 Cr 2.49
Cr  0.5000  0.5000  0.0000  4 Cr 2.49, 4 Si 2.49
Si  0.0000  0.5000  0.5000  8 Cr 2.49

Relative energy among the computed polymorphs: 0.82 eV/f.u.
ΔE_f (raw): -0.1570 eV/atom
DOS at the Fermi energy: 2.3 states/eV per cell

---

CrSi | PBE | optimized geometry

Cell: 4.0250 4.0250 7.6148 Å, 90.00 90.00 120.00°
With the nearest neighbours (Å) after each atom.
Fractional coordinates of all 8 atoms:
Cr  0.0000  0.0000  0.2500  3 Cr 2.32
Cr  0.0000  0.0000  0.7500  3 Cr 2.32
Cr  0.3333  0.6667  0.7500  3 Cr 2.32, 2 Si 2.53
Cr  0.6667  0.3333  0.2500  3 Cr 2.32, 2 Si 2.53
Si  0.3333  0.6667  0.0829  7 Cr 2.53-2.65, 4 Si 2.55-2.64
Si  0.6667  0.3333  0.5829  7 Cr 2.53-2.65, 4 Si 2.55-2.64
Si  0.6667  0.3333  0.9171  7 Cr 2.53-2.65, 4 Si 2.55-2.64
Si  0.3333  0.6667  0.4171  7 Cr 2.53-2.65, 4 Si 2.55-2.64

ΔE_f (raw): 0.1398 eV/atom
DOS at the Fermi energy: 4.8 states/eV per cell

---

CrSi2 | PBE | optimized geometry

Cell: 5.4939 5.4939 4.7669 Å, 75.50 75.50 33.12°
With the nearest neighbours (Å) after each atom.
Fractional coordinates of all 6 atoms:
Cr  0.6437  0.6437  0.9179  8 Si 2.38-2.49
Cr  0.3563  0.3563  0.0821  8 Si 2.38-2.49
Si  0.0004  0.0004  0.2539  2 Si 2.34-2.42, 4 Cr 2.46
Si  0.3074  0.3074  0.6222  4 Cr 2.38-2.49, 2 Si 2.45
Si  0.9996  0.9996  0.7461  2 Si 2.34-2.42, 4 Cr 2.46
Si  0.6926  0.6926  0.3778  4 Cr 2.38-2.49, 2 Si 2.45

ΔE_f (raw): -0.2068 eV/atom
DOS at the Fermi energy: 2.4 states/eV per cell

---

Cr3Si | PBE | optimized geometry

Cell: 3.9771 2.5125 4.7619 Å, 77.19 90.00 90.00°
With the nearest neighbours (Å) after each atom.
Fractional coordinates of all 4 atoms:
Cr  0.0000  0.9611  0.0074  6 Cr 2.32-2.56, 2 Si 2.49
Cr  0.5000  0.7500  0.7500  2 Si 2.43, 6 Cr 2.45-2.51
Cr  0.0000  0.5389  0.4926  6 Cr 2.32-2.56, 2 Si 2.49
Si  0.5000  0.2500  0.2500  6 Cr 2.43-2.49, 2 Si 2.51

Relative energy among the computed polymorphs: 0.95 eV/f.u.
ΔE_f (raw): -0.1245 eV/atom
DOS at the Fermi energy: 2.7 states/eV per cell

---

Cr8Si | PBE | optimized geometry

Cell: 5.4902 5.4902 5.4902 Å, 97.97 97.97 136.29°
With the nearest neighbours (Å) after each atom.
Fractional coordinates of all 9 atoms:
Cr  0.3385  0.6615  0.0000  4 Cr 2.33-2.44
Cr  0.6615  0.3385  0.0000  4 Cr 2.33-2.44
Cr  0.0000  0.3349  0.3349  11 Cr 2.38-2.66, 1 Si 2.41
Cr  0.6615  0.6615  0.3230  4 Cr 2.33-2.44
Cr  0.3349  0.0000  0.3349  11 Cr 2.38-2.66, 1 Si 2.41
Cr  0.3385  0.3385  0.6770  4 Cr 2.33-2.44
Cr  0.0000  0.6651  0.6651  11 Cr 2.38-2.66, 1 Si 2.41
Cr  0.6651  0.0000  0.6651  11 Cr 2.38-2.66, 1 Si 2.41
Si  0.0000  0.0000  0.0000  12 Cr 2.41-2.62

ΔE_f (raw): 0.0973 eV/atom
DOS at the Fermi energy: 8.4 states/eV per cell

---

CrSi | PBE | optimized geometry

Cell: 4.5915 4.5915 4.5915 Å, 90.00 90.00 90.00°
With the nearest neighbours (Å) after each atom.
Fractional coordinates of all 8 atoms:
Cr  0.1377  0.1377  0.1377  7 Si 2.31-2.55
Cr  0.3623  0.8623  0.6377  7 Si 2.31-2.55
Cr  0.8623  0.6377  0.3623  7 Si 2.31-2.55
Cr  0.6377  0.3623  0.8623  7 Si 2.31-2.55
Si  0.8477  0.8477  0.8477  7 Cr 2.31-2.55
Si  0.6523  0.1523  0.3477  7 Cr 2.31-2.55
Si  0.1523  0.3477  0.6523  7 Cr 2.31-2.55
Si  0.3477  0.6523  0.1523  7 Cr 2.31-2.55

ΔE_f (raw): -0.3067 eV/atom
DOS at the Fermi energy: 8.1 states/eV per cell

---

CrSi5 | PBE | optimized geometry

Cell: 6.3953 6.3953 4.2117 Å, 90.00 90.00 152.07°
With the nearest neighbours (Å) after each atom.
Fractional coordinates of all 6 atoms:
Cr  0.0049  0.9951  0.0000  10 Si 2.46-2.70
Si  0.3410  0.6590  0.0000  8 Si 2.50-2.76, 2 Cr 2.55
Si  0.6590  0.3410  0.0000  2 Cr 2.46, 8 Si 2.52-2.74
Si  0.4500  0.5500  0.5000  6 Si 2.50-2.72, 4 Cr 2.70
Si  0.7699  0.2301  0.5000  10 Si 2.52-2.76
Si  0.1086  0.8914  0.5000  2 Cr 2.47, 8 Si 2.50-2.68

Relative energy among the computed polymorphs: 0.27 eV/f.u.
ΔE_f (raw): 0.2647 eV/atom
DOS at the Fermi energy: 3.1 states/eV per cell